Computed, not measured: an optimized crystal structure of K2NaInAg at the PBE-GGA level of DFT.

Cell lengths 6.460, 6.460, 5.348 Å; angles 90.00, 90.00, 90.00 degrees
Fractional positions:
1 Na 0.500 0.500 0.500
2 K 0.000 0.500 0.000
3 K 0.500 0.000 0.000
4 Ag 0.000 0.000 0.000
5 In 0.000 0.000 0.500

SG: No. 123
Density of states at the Fermi level: 3.20 states/eV/cell
Total energy: -8.8 eV/cell
V: 223.2 Å³/f.u.

Computed, not measured: an optimized crystal structure of TiFe2Cl at the PBE-GGA level of DFT.

Cell lengths 4.260, 4.260, 4.260 Å; angles 60.00, 60.00, 60.00 degrees
Each line ends with the local moment (μB).
Fractional positions:
1 Cl 0.000 0.000 0.000  0.09
2 Fe 0.250 0.250 0.250  1.82
3 Fe 0.750 0.750 0.750  1.82
4 Ti 0.500 0.500 0.500  -0.95

SG: No. 225
Energy relative to the elements, uncorrected: 2.386 eV/f.u.
Density of states at the Fermi level: 3.68 states/eV/cell
Total energy: -24.3 eV/cell
V: 54.7 Å³/f.u.